The following is a PBE calculation of a geometry-optimized PaMn3P2 structure, from the Alexandria database.

Values from the calculation:
- Total magnetic moment: 3.7 μB/f.u.
- Calculated formation energy: -74.7 kJ/mol of atoms
- SG: C2/m

Cell lengths 3.7283, 7.8442, 9.2115 Å; angles 106.64, 90.00, 103.75 degrees
Last column: nearest neighbours and their distance in Å.
Atoms (fractional coordinates):
Pa1 0.1565 0.3130 0.6998  6 P 2.87-2.94, 9 Mn 3.01-3.20
Pa2 0.8435 0.6870 0.3002  6 P 2.87-2.94, 9 Mn 3.01-3.20
Pa3 0.0000 0.0000 0.0000  6 Mn 2.88-3.05, 6 P 2.92-2.93
Mn1 0.0473 0.0947 0.3455  4 P 2.35-2.39, 3 Mn 2.44-2.57
Mn2 0.9527 0.9053 0.6545  4 P 2.35-2.39, 3 Mn 2.44-2.57
Mn3 0.2135 0.4271 0.3931  4 P 2.23-2.32, 1 Mn 2.44
Mn4 0.7865 0.5729 0.6069  4 P 2.23-2.32, 1 Mn 2.44
Mn5 0.6211 0.2422 0.2010  4 P 2.29-2.43, 1 Mn 2.53
Mn6 0.3789 0.7578 0.7990  4 P 2.29-2.43, 1 Mn 2.53
Mn7 0.5000 0.0000 0.5000  4 P 2.31-2.47, 4 Mn 2.57
Mn8 0.3209 0.6419 0.0291  4 P 2.34-2.38, 1 Mn 2.53
Mn9 0.6791 0.3581 0.9709  4 P 2.34-2.38, 1 Mn 2.53
P1 0.1994 0.3988 0.1362  6 Mn 2.31-2.38
P2 0.8006 0.6012 0.8638  6 Mn 2.31-2.38
P3 0.4652 0.9304 0.2202  5 Mn 2.35-2.47
P4 0.5348 0.0696 0.7798  5 Mn 2.35-2.47
P5 0.3582 0.7164 0.5427  7 Mn 2.23-2.39
P6 0.6418 0.2836 0.4573  7 Mn 2.23-2.39

The following is a PBE calculation of a geometry-optimized CeSbH structure, from the Alexandria database.

Values from the calculation:
- Total magnetic moment: 1.2 μB/f.u.
- Polymorph energy (0 for the lowest one): 253 meV per atom
- SG: I4/mmm

Cell lengths 4.3668, 4.3669, 7.7229 Å; angles 73.59, 73.59, 90.01 degrees
Last column: nearest neighbours and their distance in Å.
Atoms (fractional coordinates):
Ce1 0.2385 0.1788 0.4399  4 H 2.49
Ce2 0.5699 0.5101 0.7772  4 H 2.49
Sb1 0.4042 0.8444 0.1085  4 Sb 3.09, 4 Ce 3.20-3.21
Sb2 0.9042 0.3444 0.1085  4 Sb 3.09, 4 Ce 3.20
H1 0.1542 0.5946 0.6084  4 Ce 2.49
H2 0.6543 0.0943 0.6085  4 Ce 2.49

The following is a PBE calculation of a geometry-optimized Cs2MgBeAs structure, from the Alexandria database.

Values from the calculation:
- Total magnetic moment: 0.9 μB/f.u.
- Calculated formation energy: 70.8 kJ/mol of atoms
- SG: P4/mmm

Cell lengths 6.8058, 4.8948, 6.8058 Å; angles 90.00, 90.00, 90.00 degrees
Last column: nearest neighbours and their distance in Å.
Atoms (fractional coordinates):
Cs1 0.0000 0.0000 0.5000  2 Mg 3.40
Cs2 0.5000 0.0000 0.0000  2 Mg 3.40
Be1 0.0000 0.5000 0.0000  2 Mg 2.45
As1 0.5000 0.5000 0.5000  8 Cs 4.19
Mg1 0.0000 0.0000 0.0000  2 Be 2.45

The following is a PBE calculation of a geometry-optimized PuTaTi2 structure, from the Alexandria database.

Values from the calculation:
- Total magnetic moment: 5.4 μB/f.u.
- Calculated formation energy: 15.6 kJ/mol of atoms
- Polymorph energy (0 for the lowest one): 20 meV per atom
- SG: Fm-3m

Cell lengths 4.7185, 4.7185, 4.7185 Å; angles 60.00, 60.00, 60.00 degrees
Last column: nearest neighbours and their distance in Å.
Atoms (fractional coordinates):
Ta1 0.5000 0.5000 0.5000  8 Ti 2.89
Ti1 0.2500 0.2500 0.2500  4 Ta 2.89, 4 Pu 2.89
Ti2 0.7500 0.7500 0.7500  4 Pu 2.89, 4 Ta 2.89
Pu1 0.0000 0.0000 0.0000  8 Ti 2.89

The following is a PBE calculation of a geometry-optimized Tb6Te3C2S structure, from the Alexandria database.

Values from the calculation:
- Total magnetic moment: 0.0 μB/f.u.
- ΔE_f (raw): -1.1744 eV/atom
- SG: C2/m

Cell lengths 6.8258, 6.8258, 7.3745 Å; angles 98.86, 98.86, 120.00 degrees
Last column: nearest neighbours and their distance in Å.
Atoms (fractional coordinates):
Tb1 0.9345 0.5763 0.8033  2 C 2.59, 1 S 2.81
Tb2 0.7066 0.7066 0.1926  2 C 2.59, 1 S 2.79
Tb3 0.0655 0.4237 0.1967  2 C 2.59, 1 S 2.81
Tb4 0.5763 0.9345 0.8033  2 C 2.59, 1 S 2.81
Tb5 0.2934 0.2934 0.8074  2 C 2.59, 1 S 2.79
Tb6 0.4237 0.0655 0.1967  2 C 2.59, 1 S 2.81
Te1 0.1598 0.8402 0.5000  6 Tb 3.04-3.18
Te2 0.8402 0.1598 0.5000  6 Tb 3.04-3.18
Te3 0.5000 0.5000 0.5000  6 Tb 3.02-3.18
C1 0.3327 0.6673 0.0000  6 Tb 2.59
C2 0.6673 0.3327 0.0000  6 Tb 2.59
S1 0.0000 0.0000 0.0000  6 Tb 2.79-2.81

The following is a PBE calculation of a geometry-optimized Rb3HgS structure, from the Alexandria database.

Values from the calculation:
- Total magnetic moment: 0.0 μB/f.u.
- Polymorph energy (0 for the lowest one): 0 meV per atom
- ΔE_f (raw): -0.5637 eV/atom
- SG: Pm-3m

Cell lengths 6.4380, 6.4380, 6.4380 Å; angles 90.00, 90.00, 90.00 degrees
Last column: nearest neighbours and their distance in Å.
Atoms (fractional coordinates):
S1 0.0000 0.0000 0.0000  6 Rb 3.22
Hg1 0.5000 0.5000 0.5000  12 Rb 4.55
Rb1 0.0000 0.5000 0.0000  2 S 3.22
Rb2 0.0000 0.0000 0.5000  2 S 3.22
Rb3 0.5000 0.0000 0.0000  2 S 3.22

The following is a PBE calculation of a geometry-optimized TePOsO2 structure, from the Alexandria database.

Values from the calculation:
- Total magnetic moment: 0.0 μB/f.u.
- Polymorph energy (0 for the lowest one): 0 meV per atom
- ΔE_f (raw): -0.2994 eV/atom
- SG: P4/mmm

Cell lengths 3.7809, 3.7809, 5.6718 Å; angles 90.00, 90.00, 90.00 degrees
Last column: nearest neighbours and their distance in Å.
Atoms (fractional coordinates):
P1 0.0000 0.0000 0.5000  4 Te 2.67, 2 Os 2.84
Te1 0.5000 0.5000 0.5000  4 P 2.67
Os1 0.0000 0.0000 0.0000  4 O 1.89
O1 0.0000 0.5000 0.0000  2 Os 1.89
O2 0.5000 0.0000 0.0000  2 Os 1.89

The following is a PBE calculation of a geometry-optimized NdGaIr2 structure, from the Alexandria database.

Values from the calculation:
- Total magnetic moment: 0.1 μB/f.u.
- Calculated formation energy: -3.6 kJ/mol of atoms
- SG: Pmma

Cell lengths 7.1423, 5.6593, 8.8546 Å; angles 90.00, 90.00, 90.00 degrees
Last column: nearest neighbours and their distance in Å.
Atoms (fractional coordinates):
Nd1 0.0000 0.2500 0.6439  2 Ga 3.00
Nd2 0.5000 0.7500 0.2097  4 Ir 2.74-2.93, 2 Ga 2.89
Nd3 0.0000 0.7500 0.3561  2 Ga 3.00
Nd4 0.5000 0.2500 0.7903  4 Ir 2.74-2.93, 2 Ga 2.89
Ga1 0.5000 0.7500 0.7215  4 Ir 2.42-2.44
Ga2 0.5000 0.2500 0.2785  4 Ir 2.42-2.44
Ga3 0.0000 0.2500 0.2433  4 Ir 2.58-2.72
Ga4 0.0000 0.7500 0.7567  4 Ir 2.58-2.72
Ir1 0.0000 0.0000 0.0000  2 Ga 2.58, 6 Ir 2.62-2.83
Ir2 0.5000 0.5000 0.5000  2 Ga 2.42
Ir3 0.3005 0.7500 0.9453  2 Ga 2.44-2.72, 2 Ir 2.62
Ir4 0.6995 0.2500 0.0547  2 Ga 2.44-2.72, 2 Ir 2.62
Ir5 0.6995 0.7500 0.9453  2 Ga 2.44-2.72, 2 Ir 2.62
Ir6 0.3005 0.2500 0.0547  2 Ga 2.44-2.72, 2 Ir 2.62
Ir7 0.0000 0.5000 0.0000  2 Ga 2.58, 6 Ir 2.62-2.83
Ir8 0.5000 0.0000 0.5000  2 Ga 2.42

The following is a PBE calculation of a geometry-optimized NaNd3Y2Te6 structure, from the Alexandria database.

Values from the calculation:
- Total magnetic moment: 0.0 μB/f.u.
- ΔE_f (raw): -1.3680 eV/atom
- SG: C2/m

Cell lengths 4.4353, 8.9540, 9.9804 Å; angles 103.21, 102.84, 90.00 degrees
Last column: nearest neighbours and their distance in Å.
Atoms (fractional coordinates):
Na1 0.5000 0.0000 0.0000  6 Te 3.11-3.18
Nd1 0.5000 0.5000 0.0000  6 Te 3.19-3.20
Nd2 0.8387 0.1766 0.6774  6 Te 3.14-3.24
Nd3 0.1613 0.8234 0.3226  6 Te 3.14-3.24
Y1 0.8338 0.6609 0.6676  6 Te 3.06-3.15
Y2 0.1662 0.3391 0.3324  6 Te 3.06-3.15
Te1 0.3319 0.9100 0.6637  2 Y 3.15, 1 Na 3.18, 3 Nd 3.23-3.24
Te2 0.6690 0.5776 0.3380  3 Y 3.07-3.12, 3 Nd 3.15-3.20
Te3 0.6681 0.0900 0.3363  2 Y 3.15, 1 Na 3.18, 3 Nd 3.23-3.24
Te4 0.0048 0.2465 0.0095  1 Y 3.06, 2 Na 3.11, 3 Nd 3.14-3.19
Te5 0.9952 0.7535 0.9905  1 Y 3.06, 2 Na 3.11, 3 Nd 3.14-3.19
Te6 0.3310 0.4224 0.6620  3 Y 3.07-3.12, 3 Nd 3.15-3.20

The following is a PBE calculation of a geometry-optimized PaGaSi4 structure, from the Alexandria database.

Values from the calculation:
- Total magnetic moment: 0.0 μB/f.u.
- ΔE_f (raw): -0.0958 eV/atom
- SG: F-43m

Cell lengths 5.2042, 5.2042, 5.2042 Å; angles 60.00, 60.00, 60.00 degrees
Last column: nearest neighbours and their distance in Å.
Atoms (fractional coordinates):
Si1 0.6274 0.6274 0.1177  6 Si 2.55-2.65
Si2 0.6274 0.1177 0.6274  6 Si 2.55-2.65
Si3 0.6274 0.6274 0.6274  6 Si 2.55-2.65
Si4 0.1178 0.6274 0.6274  6 Si 2.55-2.65
Pa1 0.2500 0.2500 0.2500  12 Si 3.06, 4 Ga 3.19
Ga1 0.0000 0.0000 0.0000  12 Si 3.05, 4 Pa 3.19

The following is a PBE calculation of a geometry-optimized Ce2Pu3Si4 structure, from the Alexandria database.

Values from the calculation:
- Total magnetic moment: 19.5 μB/f.u.
- ΔE_f (raw): -0.5084 eV/atom
- SG: P2_1/c

Cell lengths 7.3852, 7.7487, 7.7008 Å; angles 90.00, 90.00, 108.31 degrees
Last column: nearest neighbours and their distance in Å.
Atoms (fractional coordinates):
Ce1 0.5692 0.1888 0.3272  7 Si 3.07-3.42
Ce2 0.9308 0.8112 0.8272  7 Si 3.07-3.42
Ce3 0.4308 0.8112 0.6728  7 Si 3.07-3.42
Ce4 0.0692 0.1888 0.1728  7 Si 3.07-3.42
Pu1 0.0000 0.5000 0.5000  6 Si 2.98-3.19, 2 Pu 3.25
Pu2 0.5000 0.5000 0.0000  6 Si 2.98-3.19, 2 Pu 3.25
Pu3 0.7451 0.2513 0.8074  6 Si 2.89-2.97
Pu4 0.7549 0.7487 0.3074  6 Si 2.89-2.97
Pu5 0.2549 0.7487 0.1926  6 Si 2.89-2.97
Pu6 0.2451 0.2513 0.6926  6 Si 2.89-2.97
Si1 0.8710 0.0675 0.5278  1 Si 2.48
Si2 0.6290 0.9325 0.0278  1 Si 2.48
Si3 0.1290 0.9325 0.4722  1 Si 2.48
Si4 0.3710 0.0675 0.9722  1 Si 2.48
Si5 0.8813 0.4851 0.1125  1 Si 2.42
Si6 0.6187 0.5149 0.6125  1 Si 2.42
Si7 0.1187 0.5149 0.8875  1 Si 2.42
Si8 0.3813 0.4851 0.3875  1 Si 2.42

The following is a PBE calculation of a geometry-optimized Zr2Zn16Co structure, from the Alexandria database.

Values from the calculation:
- Total magnetic moment: 0.1 μB/f.u.
- Calculated formation energy: -11.7 kJ/mol of atoms
- SG: R3m

Cell lengths 6.6440, 6.6440, 6.6440 Å; angles 82.59, 82.59, 82.59 degrees
Last column: nearest neighbours and their distance in Å.
Atoms (fractional coordinates):
Zr1 0.6806 0.6806 0.6806  1 Co 2.73
Zr2 0.3364 0.3364 0.3364  19 Zn 3.09-3.37
Zn1 0.7063 0.9981 0.2917  8 Zn 2.50-2.77
Zn2 0.9981 0.2917 0.7063  8 Zn 2.50-2.77
Zn3 0.2917 0.7063 0.9981  8 Zn 2.50-2.77
Zn4 0.9981 0.7063 0.2917  8 Zn 2.50-2.77
Zn5 0.7063 0.2917 0.9981  8 Zn 2.50-2.77
Zn6 0.2917 0.9981 0.7063  8 Zn 2.50-2.77
Zn7 0.3618 0.8331 0.3618  8 Zn 2.50-2.77
Zn8 0.8331 0.3618 0.3618  8 Zn 2.50-2.77
Zn9 0.3618 0.3618 0.8331  8 Zn 2.50-2.77
Zn10 0.6467 0.1498 0.6467  8 Zn 2.50-2.72, 1 Co 2.74
Zn11 0.1498 0.6467 0.6467  8 Zn 2.50-2.72, 1 Co 2.74
Zn12 0.6467 0.6467 0.1498  8 Zn 2.50-2.72, 1 Co 2.74
Zn13 0.9981 0.5056 0.9981  9 Zn 2.50-2.73, 1 Co 2.60
Zn14 0.5056 0.9981 0.9981  9 Zn 2.50-2.73, 1 Co 2.60
Zn15 0.9981 0.9981 0.5056  9 Zn 2.50-2.73, 1 Co 2.60
Zn16 0.0968 0.0968 0.0968  1 Co 2.64, 12 Zn 2.73-2.91
Co1 0.8921 0.8921 0.8921  13 Zn 2.60-2.91, 1 Zr 2.73